(1)
# NbTc2Ge (PBE, relaxed)
# Total magnetic moment ... 0.7 μB per formula unit
# Uncorrected energy ... -8.783 eV per atom
# V ... 248.29 Å³ per cell
# Density ... 9.7 g cm⁻³
data_NbTc2Ge
_cell_length_a 6.285
_cell_length_b 6.285
_cell_length_c 6.285
_cell_angle_alpha 90.00
_cell_angle_beta 90.00
_cell_angle_gamma 90.00
_symmetry_space_group_name_H-M 'F -4 3 m'
_symmetry_Int_Tables_number 216
_symmetry_space_group_name_Hall 'F -4 2 3'
loop_
_atom_site_label
_atom_site_fract_x
_atom_site_fract_y
_atom_site_fract_z
_atom_site_occupancy
Nb1 0.000 0.000 0.000 1
Tc1 0.000 0.000 0.500 1
Tc2 0.250 0.250 0.250 1
Ge1 0.250 0.250 0.750 1

---

(2)
# NbTc2Ge (PBE, relaxed)
# Total magnetic moment ... 0.0 μB per formula unit
# Uncorrected energy ... -9.119 eV per atom
# V ... 367.73 Å³ per cell
# Density ... 9.8 g cm⁻³
data_NbTc2Ge
_cell_length_a 4.426
_cell_length_b 13.276
_cell_length_c 6.259
_cell_angle_alpha 90.00
_cell_angle_beta 90.00
_cell_angle_gamma 90.00
_symmetry_space_group_name_H-M 'P n n m'
_symmetry_Int_Tables_number 58
loop_
_symmetry_equiv_pos_as_xyz
'x,y,z'
'-x,-y,-z'
'-x,-y,z'
'x,y,-z'
'x+1/2,-y+1/2,-z+1/2'
'-x+1/2,y+1/2,z+1/2'
'-x+1/2,y+1/2,-z+1/2'
'x+1/2,-y+1/2,z+1/2'
loop_
_atom_site_label
_atom_site_fract_x
_atom_site_fract_y
_atom_site_fract_z
_atom_site_occupancy
Nb1 0.000 0.000 0.000 1
Nb2 0.001 0.333 0.000 1
Tc1 0.000 0.167 0.250 1
Tc2 0.000 0.500 0.250 1
Ge1 0.000 0.000 0.500 1
Ge2 0.001 0.667 0.500 1

---

(3)
# Nb2Ge2Te (PBE, relaxed)
# Total magnetic moment ... 0.0 μB per formula unit
# Uncorrected energy ... -6.415 eV per atom
# V ... 205.72 Å³ per cell
# Density ... 7.4 g cm⁻³
data_Nb2Ge2Te
_cell_length_a 4.874
_cell_length_b 4.874
_cell_length_c 8.659
_cell_angle_alpha 90.00
_cell_angle_beta 90.00
_cell_angle_gamma 90.00
_symmetry_space_group_name_H-M 'I 4/m m m'
_symmetry_Int_Tables_number 139
_symmetry_space_group_name_Hall '-I 4 2'
loop_
_atom_site_label
_atom_site_fract_x
_atom_site_fract_y
_atom_site_fract_z
_atom_site_occupancy
Nb1 0.000 0.500 0.250 1
Ge1 0.000 0.000 0.138 1
Te1 0.000 0.000 0.500 1

---

(4)
# NbGeTe2 (PBE, relaxed)
# Total magnetic moment ... 0.3 μB per formula unit
# Uncorrected energy ... -4.727 eV per atom
# V ... 352.20 Å³ per cell
# Density ... 7.9 g cm⁻³
data_NbGeTe2
_cell_length_a 7.062
_cell_length_b 7.062
_cell_length_c 7.062
_cell_angle_alpha 90.00
_cell_angle_beta 90.00
_cell_angle_gamma 90.00
_symmetry_space_group_name_H-M 'F -4 3 m'
_symmetry_Int_Tables_number 216
_symmetry_space_group_name_Hall 'F -4 2 3'
loop_
_atom_site_label
_atom_site_fract_x
_atom_site_fract_y
_atom_site_fract_z
_atom_site_occupancy
Nb1 0.000 0.000 0.000 1
Ge1 0.250 0.250 0.250 1
Te1 0.000 0.000 0.500 1
Te2 0.250 0.250 0.750 1

---

(5)
# Nb2Ge2Te5 (PBE, relaxed)
# Total magnetic moment ... 0.0 μB per formula unit
# Uncorrected energy ... -5.160 eV per atom
# V ... 239.71 Å³ per cell
# Density ... 6.7 g cm⁻³
data_Nb2Ge2Te5
_cell_length_a 3.7088
_cell_length_b 3.7088
_cell_length_c 20.1227
_cell_angle_alpha 90.00
_cell_angle_beta 90.00
_cell_angle_gamma 120.00
_symmetry_space_group_name_H-M 'P -3 m 1'
_symmetry_Int_Tables_number 164
_symmetry_space_group_name_Hall '-P 3 2"'
loop_
_atom_site_label
_atom_site_fract_x
_atom_site_fract_y
_atom_site_fract_z
_atom_site_occupancy
Nb1 0.0000 0.0000 0.1843 1
Ge1 0.3333 0.6667 0.5960 1
Te1 0.0000 0.0000 0.5000 1
Te2 0.3333 0.6667 0.2767 1
Te3 0.3333 0.6667 0.9069 1

---

(6)
# NbGeTe6 (PBE, relaxed)
# Total magnetic moment ... 0.0 μB per formula unit
# Uncorrected energy ... -4.399 eV per atom
# V ... 1004.83 Å³ per cell
# Density ... 6.2 g cm⁻³
data_NbGeTe6
_cell_length_a 14.845
_cell_length_b 3.880
_cell_length_c 18.156
_cell_angle_alpha 90.00
_cell_angle_beta 106.10
_cell_angle_gamma 90.00
_symmetry_space_group_name_H-M 'C 1 2/m 1'
_symmetry_Int_Tables_number 12
loop_
_symmetry_equiv_pos_as_xyz
'x,y,z'
'-x,-y,-z'
'-x,y,-z'
'x,-y,z'
'x+1/2,y+1/2,z'
'-x+1/2,-y+1/2,-z'
'-x+1/2,y+1/2,-z'
'x+1/2,-y+1/2,z'
loop_
_atom_site_label
_atom_site_fract_x
_atom_site_fract_y
_atom_site_fract_z
_atom_site_occupancy
Nb1 0.231 0.000 0.261 1
Ge1 0.222 0.000 0.409 1
Te1 0.087 0.500 0.259 1
Te2 0.089 0.000 0.116 1
Te3 0.125 0.500 0.460 1
Te4 0.132 0.000 0.653 1
Te5 0.175 0.500 0.023 1
Te6 0.189 0.000 0.822 1

---

(7)
# NbTlGe (PBE, relaxed)
# Total magnetic moment ... 1.4 μB per formula unit
# Uncorrected energy ... -4.988 eV per atom
# E above lowest polymorph ... 0.000 eV/atom
# V ... 271.87 Å³ per cell
# Density ... 9.0 g cm⁻³
data_NbTlGe
_cell_length_a 6.478
_cell_length_b 6.478
_cell_length_c 6.478
_cell_angle_alpha 90.00
_cell_angle_beta 90.00
_cell_angle_gamma 90.00
_symmetry_space_group_name_H-M 'F -4 3 m'
_symmetry_Int_Tables_number 216
_symmetry_space_group_name_Hall 'F -4 2 3'
loop_
_atom_site_label
_atom_site_fract_x
_atom_site_fract_y
_atom_site_fract_z
_atom_site_occupancy
Nb1 0.000 0.000 0.000 1
Tl1 0.000 0.000 0.500 1
Ge1 0.250 0.250 0.250 1

---

(8)
# TmNbGe (PBE, relaxed)
# Total magnetic moment ... 1.1 μB per formula unit
# Uncorrected energy ... -6.492 eV per atom
# V ... 269.14 Å³ per cell
# Density ... 8.3 g cm⁻³
data_TmNbGe
_cell_length_a 6.456
_cell_length_b 6.456
_cell_length_c 6.456
_cell_angle_alpha 90.00
_cell_angle_beta 90.00
_cell_angle_gamma 90.00
_symmetry_space_group_name_H-M 'F -4 3 m'
_symmetry_Int_Tables_number 216
_symmetry_space_group_name_Hall 'F -4 2 3'
loop_
_atom_site_label
_atom_site_fract_x
_atom_site_fract_y
_atom_site_fract_z
_atom_site_occupancy
Tm1 0.000 0.000 0.000 1
Nb1 0.000 0.000 0.500 1
Ge1 0.250 0.250 0.750 1

---

(9)
# TmNbGe (PBE, relaxed)
# Total magnetic moment ... 3.6 μB per formula unit
# Uncorrected energy ... -5.599 eV per atom
# V ... 305.75 Å³ per cell
# Density ... 7.3 g cm⁻³
data_TmNbGe
_cell_length_a 6.737
_cell_length_b 6.737
_cell_length_c 6.737
_cell_angle_alpha 90.00
_cell_angle_beta 90.00
_cell_angle_gamma 90.00
_symmetry_space_group_name_H-M 'F -4 3 m'
_symmetry_Int_Tables_number 216
_symmetry_space_group_name_Hall 'F -4 2 3'
loop_
_atom_site_label
_atom_site_fract_x
_atom_site_fract_y
_atom_site_fract_z
_atom_site_occupancy
Tm1 0.000 0.000 0.000 1
Nb1 0.250 0.250 0.250 1
Ge1 0.250 0.250 0.750 1

---

(10)
# UNbGe (PBE, relaxed)
# Total magnetic moment ... 0.0 μB per formula unit
# Uncorrected energy ... -7.716 eV per atom
# V ... 273.46 Å³ per cell
# Density ... 9.8 g cm⁻³
data_UNbGe
_cell_length_a 6.491
_cell_length_b 6.491
_cell_length_c 6.491
_cell_angle_alpha 90.00
_cell_angle_beta 90.00
_cell_angle_gamma 90.00
_symmetry_space_group_name_H-M 'F -4 3 m'
_symmetry_Int_Tables_number 216
_symmetry_space_group_name_Hall 'F -4 2 3'
loop_
_atom_site_label
_atom_site_fract_x
_atom_site_fract_y
_atom_site_fract_z
_atom_site_occupancy
U1 0.000 0.000 0.000 1
Nb1 0.250 0.250 0.250 1
Ge1 0.250 0.250 0.750 1

---

(11)
# U2Nb3Ge4 (PBE, relaxed)
# Total magnetic moment ... 4.8 μB per formula unit
# Uncorrected energy ... -8.365 eV per atom
# V ... 681.56 Å³ per cell
# Density ... 10.2 g cm⁻³
data_U2Nb3Ge4
_cell_length_a 7.012
_cell_length_b 13.511
_cell_length_c 7.194
_cell_angle_alpha 90.00
_cell_angle_beta 90.00
_cell_angle_gamma 90.00
_symmetry_space_group_name_H-M 'P n m a'
_symmetry_Int_Tables_number 62
loop_
_symmetry_equiv_pos_as_xyz
'x,y,z'
'-x,-y,-z'
'-x+1/2,-y,z+1/2'
'x+1/2,y,-z+1/2'
'x+1/2,-y+1/2,-z+1/2'
'-x+1/2,y+1/2,z+1/2'
'-x,y+1/2,-z'
'x,-y+1/2,z'
loop_
_atom_site_label
_atom_site_fract_x
_atom_site_fract_y
_atom_site_fract_z
_atom_site_occupancy
U1 0.007 0.091 0.170 1
Nb1 0.160 0.625 0.333 1
Nb2 0.168 0.250 0.504 1
Ge1 0.040 0.250 0.876 1
Ge2 0.173 0.043 0.543 1
Ge3 0.192 0.750 0.640 1

---

(12)
# UNbGe (PBE, relaxed)
# Total magnetic moment ... 2.7 μB per formula unit
# Uncorrected energy ... -8.277 eV per atom
# V ... 271.47 Å³ per cell
# Density ... 9.9 g cm⁻³
data_UNbGe
_cell_length_a 6.475
_cell_length_b 6.475
_cell_length_c 6.475
_cell_angle_alpha 90.00
_cell_angle_beta 90.00
_cell_angle_gamma 90.00
_symmetry_space_group_name_H-M 'F -4 3 m'
_symmetry_Int_Tables_number 216
_symmetry_space_group_name_Hall 'F -4 2 3'
loop_
_atom_site_label
_atom_site_fract_x
_atom_site_fract_y
_atom_site_fract_z
_atom_site_occupancy
U1 0.000 0.000 0.000 1
Nb1 0.000 0.000 0.500 1
Ge1 0.250 0.250 0.750 1

---

> Among the records above, which one has the lowest density?

NbGeTe6